## BeReAs2Se (PBE)

Data for a geometry-optimized BeReAs2Se structure.

Calculated values
The formation energy from raw total energies is 1.00 eV per atom. Its space group is P4/mmm (123). The distance to the lowest polymorph of the same formula is 0 meV/atom. Its calculated total energy is -4.789 eV per atom.

Unit cell a=4.690 b=4.690 c=5.413 alpha=90.00 beta=90.00 gamma=90.00
Element x y z (fractional)
Be (0.000, 0.000, 0.000)
Re (0.500, 0.500, 0.500)
As (0.000, 0.500, 0.500)
As (0.500, 0.000, 0.500)
Se (0.500, 0.500, 0.000)



## BeAsRh4 (PBE)

Data for a geometry-optimized BeAsRh4 structure.

Calculated values
Its space group is F-43m (216). The energy of formation comes out at 0.42 eV/atom. Its calculated total energy is -5.875 eV per atom.

Unit cell a=5.100 b=5.100 c=5.100 alpha=60.00 beta=60.00 gamma=60.00
Element x y z (fractional)
Be (0.000, 0.000, 0.000)
As (0.250, 0.250, 0.250)
Rh (0.125, 0.625, 0.625)
Rh (0.625, 0.125, 0.625)
Rh (0.625, 0.625, 0.125)
Rh (0.625, 0.625, 0.625)



## Be2AsRh2 (PBE)

Data for a geometry-optimized Be2AsRh2 structure.

Calculated values
Its space group is P4/mbm (127). The distance to the lowest polymorph of the same formula is 0 meV/atom. The energy of formation comes out at -0.31 eV/atom. Its calculated total energy is -5.671 eV per atom.

Unit cell a=6.405 b=6.405 c=2.949 alpha=90.00 beta=90.00 gamma=90.00
Element x y z (fractional)
Be (0.123, 0.377, 0.000)
Be (0.377, 0.877, 0.000)
Be (0.623, 0.123, 0.000)
Be (0.877, 0.623, 0.000)
As (0.000, 0.000, 0.000)
As (0.500, 0.500, 0.000)
Rh (0.167, 0.667, 0.500)
Rh (0.333, 0.167, 0.500)
Rh (0.667, 0.833, 0.500)
Rh (0.833, 0.333, 0.500)



## Be5AsRh6 (PBE)

Data for a geometry-optimized Be5AsRh6 structure.

Calculated values
Its space group is Cmmm (65). The energy of formation comes out at -0.63 eV/atom. Its calculated total energy is -6.243 eV per atom.

Unit cell a=6.342 b=6.342 c=5.676 alpha=90.00 beta=90.00 gamma=143.16
Element x y z (fractional)
Be (0.000, 0.000, 0.000)
Be (0.322, 0.678, 0.500)
Be (0.334, 0.666, 0.000)
Be (0.666, 0.334, 0.000)
Be (0.678, 0.322, 0.500)
As (0.000, 0.000, 0.500)
Rh (0.168, 0.832, 0.246)
Rh (0.168, 0.832, 0.754)
Rh (0.500, 0.500, 0.245)
Rh (0.500, 0.500, 0.755)
Rh (0.832, 0.168, 0.246)
Rh (0.832, 0.168, 0.754)